Material: SmUSe
Method: DFT, PBE-GGA
State: relaxed

abc: 9.561 9.561 4.477
angles: 90.00 90.00 157.73
Fractional positions:
Sm 0.148 0.852 0.750
Sm 0.852 0.148 0.250
U 0.469 0.531 0.750
U 0.531 0.469 0.250
Se 0.315 0.685 0.750
Se 0.685 0.315 0.250

Properties
- SG: Cmcm, No. 63
- Formation energy without anion corrections: -0.755 eV/atom
- Raw total energy: -7.25 eV per atom